First-principles (PBE) data for a geometry-optimized BaY3Ru structure, as listed in Alexandria.

Cell lengths 5.475, 5.475, 11.140 Å; angles 90.00, 90.00, 120.00 degrees
Element x y z (fractional)
1 Y 0.000 0.000 0.250
2 Y 0.000 0.000 0.750
3 Y 0.333 0.667 0.072
4 Y 0.333 0.667 0.428
5 Y 0.667 0.333 0.572
6 Y 0.667 0.333 0.928
7 Ru 0.000 0.000 0.000
8 Ru 0.000 0.000 0.500
9 Ba 0.333 0.667 0.750
10 Ba 0.667 0.333 0.250

## Properties
For the density of states at the Fermi level, the calculation gives 9.19 states/eV per cell. The energy of formation from the pure elements comes out at 107 meV/atom. As for the mass density: 5.80 g/cm3.